## 1
A relaxed structure of KCo2Au. Source: Alexandria, functional PBE.

```
KCo2Au
1.0
-2.734 -1.083 -4.483
2.713 -4.100 2.139
-2.157 -0.658 1.474
Au K Co
1 1 2
Direct
0.000 0.500 0.500
0.500 0.000 0.500
0.000 0.000 0.000
0.500 0.500 0.000
```

## 2
A relaxed structure of KCo2Au. Source: Alexandria, functional PBE.

```
KCo2Au
1.0
-4.884 1.526 3.406
0.199 0.264 6.138
1.491 1.779 -5.692
Co K Au
2 1 1
Direct
0.466 0.466 0.000
0.034 0.034 0.000
0.750 0.250 0.500
0.250 0.750 0.500
```

## 3
A relaxed structure of KCo2Au. Source: Alexandria, functional PBE.

```
KCo2Au
1.0
-3.493 0.185 -3.581
-0.064 -4.517 -2.156
-0.288 1.256 4.837
Co K Au
2 1 1
Direct
0.000 0.000 0.000
0.250 0.750 0.500
0.500 0.500 0.000
0.750 0.250 0.500
```

Most stable = 2

## 1
A relaxed structure of KCo2Au. Source: Alexandria, functional PBE.

```
KCo2Au
1.0
4.688 0.000 0.000
2.344 4.060 0.000
2.344 1.353 3.828
K Co Au
1 2 1
Direct
0.750 0.750 0.750
0.250 0.250 0.250
0.000 0.000 0.000
0.500 0.500 0.500
```

## 2
A relaxed structure of KCo2Au. Source: Alexandria, functional PBE.

```
KCo2Au
1.0
10.159 -0.006 -0.003
9.770 2.784 -0.003
9.770 1.362 2.428
Co Au K
2 1 1
Direct
0.010 0.010 0.010
0.490 0.490 0.490
0.750 0.750 0.750
0.250 0.250 0.250
```

Most stable = 2

## 1
A relaxed structure of KCo2Au. Source: Alexandria, functional PBE.

```
KCo2Au
1.0
4.624 0.000 0.000
0.000 4.624 0.000
2.312 2.312 9.128
K Au Co
2 2 4
Direct
0.250 0.750 0.500
0.500 0.500 0.000
0.750 0.250 0.500
0.000 0.000 0.000
0.875 0.125 0.250
0.375 0.125 0.750
0.875 0.125 0.750
0.875 0.625 0.250
```

## 2
A relaxed structure of KCo2Au. Source: Alexandria, functional PBE.

```
KCo2Au
1.0
-2.465 -0.851 -1.057
-1.010 -0.311 2.608
-2.965 8.722 -0.110
Co Au K
2 1 1
Direct
0.000 0.000 0.548
0.000 0.000 0.952
0.500 0.500 0.750
0.500 0.500 0.250
```

## 3
A relaxed structure of KCo2Au. Source: Alexandria, functional PBE.

```
KCo2Au
1.0
-1.972 -4.135 -0.672
-3.141 -0.548 -3.358
1.047 -2.480 -3.767
K Co Au
1 2 1
Direct
0.000 0.000 0.000
0.250 0.250 0.250
0.750 0.750 0.750
0.500 0.500 0.500
```

Most stable = 1

## 1
A relaxed structure of KCo3Au. Source: Alexandria, functional PBE.

```
KCo3Au
1.0
-2.184 -3.995 1.775
2.698 -2.793 -2.966
3.439 -0.346 3.454
Co Au K
3 1 1
Direct
0.000 0.500 0.000
0.500 0.000 0.000
0.000 0.000 0.500
0.000 0.000 0.000
0.500 0.500 0.500
```

## 2
A relaxed structure of KCo3Au. Source: Alexandria, functional PBE.

```
KCo3Au
1.0
-0.868 -0.486 4.297
2.395 -3.703 0.064
3.601 2.346 0.993
Au K Co
1 1 3
Direct
0.500 0.500 0.500
0.000 0.000 0.000
0.000 0.500 0.000
0.000 0.000 0.500
0.500 0.000 0.000
```

Most stable = 1

## 1
A relaxed structure of La4CoAu2. Source: Alexandria, functional PBE.

```
La4CoAu2
1.0
-3.321 1.485 1.821
-0.536 -3.292 6.249
2.714 4.916 5.484
La Co Au
4 1 2
Direct
0.660 0.753 0.927
0.340 0.247 0.073
0.074 0.217 0.635
0.926 0.783 0.365
0.000 0.000 0.000
0.374 0.571 0.680
0.626 0.429 0.320
```

## 2
A relaxed structure of La4CoAu2. Source: Alexandria, functional PBE.

```
La4CoAu2
1.0
-4.771 1.342 -1.301
-0.868 -4.749 -1.717
-5.368 -3.826 5.650
La Au Co
4 2 1
Direct
0.816 0.816 0.368
0.184 0.184 0.632
0.500 0.000 0.000
0.000 0.500 0.000
0.371 0.371 0.259
0.629 0.629 0.741
0.000 0.000 0.000
```

Most stable = 1

## 1
A relaxed structure of LaCo3Au. Source: Alexandria, functional PBE.

```
LaCo3Au
1.0
4.744 0.000 0.000
0.000 4.744 0.000
0.000 0.000 4.744
Co La Au
3 1 1
Direct
0.500 0.000 0.000
0.000 0.500 0.000
0.000 0.000 0.500
0.500 0.500 0.500
0.000 0.000 0.000
```

## 2
A relaxed structure of LaCo3Au. Source: Alexandria, functional PBE.

```
LaCo3Au
1.0
4.564 0.000 0.000
0.000 4.564 0.000
0.000 0.000 4.564
Au Co La
1 3 1
Direct
0.500 0.500 0.500
0.000 0.000 0.500
0.500 0.000 0.000
0.000 0.500 0.000
0.000 0.000 0.000
```

Most stable = 1

## 1
A relaxed structure of La4CoAu. Source: Alexandria, functional PBE.

```
La4CoAu
1.0
5.614 0.000 -0.194
0.000 7.347 0.000
0.293 0.000 8.514
La Co Au
8 2 2
Direct
0.751 0.967 0.332
0.751 0.533 0.332
0.249 0.467 0.668
0.250 0.250 0.246
0.249 0.033 0.668
0.750 0.750 0.754
0.750 0.250 0.955
0.250 0.750 0.045
0.250 0.250 0.966
0.750 0.750 0.034
0.251 0.750 0.404
0.749 0.250 0.596
```

## 2
A relaxed structure of La4CoAu. Source: Alexandria, functional PBE.

```
La4CoAu
1.0
0.000 4.436 4.436
4.436 0.000 4.436
4.436 4.436 0.000
Co La Au
1 4 1
Direct
0.000 0.000 0.000
0.375 0.875 0.375
0.375 0.375 0.875
0.375 0.375 0.375
0.875 0.375 0.375
0.750 0.750 0.750
```

## 3
A relaxed structure of La4CoAu. Source: Alexandria, functional PBE.

```
La4CoAu
1.0
-0.960 2.845 -6.323
3.572 -6.264 -1.855
-7.762 -1.795 3.491
La Co Au
8 2 2
Direct
0.969 0.200 0.925
0.284 0.945 0.575
0.209 0.370 0.425
0.544 0.276 0.075
0.456 0.724 0.925
0.791 0.630 0.575
0.031 0.800 0.075
0.716 0.055 0.425
0.836 0.086 0.172
0.164 0.914 0.828
0.628 0.378 0.757
0.372 0.622 0.243
```

Most stable = 3

## 1
A relaxed structure of La2TlCoAu. Source: Alexandria, functional PBE.

```
La2TlCoAu
1.0
-4.367 -0.201 2.729
-1.242 -4.434 -2.315
2.383 -2.560 3.625
La Co Tl Au
2 1 1 1
Direct
0.500 0.000 0.000
0.000 0.500 0.000
0.000 0.000 0.000
0.500 0.500 0.500
0.000 0.000 0.500
```

## 2
A relaxed structure of La2TlCoAu. Source: Alexandria, functional PBE.

```
La2TlCoAu
1.0
-3.849 2.216 -2.776
-3.153 -4.017 1.165
-1.548 2.392 4.057
Tl La Co Au
1 2 1 1
Direct
0.000 0.000 0.500
0.000 0.500 0.000
0.500 0.000 0.000
0.000 0.000 0.000
0.500 0.500 0.500
```

Most stable = 2

## 1
A relaxed structure of Li2CoAu2. Source: Alexandria, functional PBE.

```
Li2CoAu2
1.0
7.256 0.000 0.000
0.000 7.256 0.000
0.000 0.000 2.746
Li Au Co
4 4 2
Direct
0.877 0.623 0.000
0.123 0.377 0.000
0.623 0.123 0.000
0.377 0.877 0.000
0.677 0.823 0.500
0.177 0.677 0.500
0.823 0.323 0.500
0.323 0.177 0.500
0.500 0.500 0.000
0.000 0.000 0.000
```

## 2
A relaxed structure of Li2CoAu2. Source: Alexandria, functional PBE.

```
Li2CoAu2
1.0
-2.970 4.661 -3.676
-4.098 1.363 5.040
2.423 2.553 1.279
Au Co Li
4 2 4
Direct
0.147 0.353 0.000
0.353 0.853 0.000
0.647 0.147 0.000
0.853 0.647 0.000
0.000 0.000 0.000
0.500 0.500 0.000
0.160 0.660 0.500
0.660 0.840 0.500
0.840 0.340 0.500
0.340 0.160 0.500
```

Most stable = 1

## 1
A relaxed structure of Mg2CoAu2. Source: Alexandria, functional PBE.

```
Mg2CoAu2
1.0
7.592 0.000 0.000
0.000 7.592 0.000
0.000 0.000 3.052
Mg Co Au
4 2 4
Direct
0.355 0.855 0.000
0.145 0.355 0.000
0.645 0.145 0.000
0.855 0.645 0.000
0.000 0.000 0.000
0.500 0.500 0.000
0.154 0.654 0.500
0.654 0.846 0.500
0.346 0.154 0.500
0.846 0.346 0.500
```

## 2
A relaxed structure of Mg2CoAu2. Source: Alexandria, functional PBE.

```
Mg2CoAu2
1.0
6.854 0.000 0.000
0.000 6.854 0.000
0.000 0.000 3.872
Au Co Mg
4 2 4
Direct
0.356 0.856 0.000
0.856 0.644 0.000
0.144 0.356 0.000
0.644 0.144 0.000
0.500 0.500 0.000
0.000 0.000 0.000
0.165 0.665 0.500
0.335 0.165 0.500
0.665 0.835 0.500
0.835 0.335 0.500
```

Most stable = 2

## 1
A relaxed structure of MnCoAu3. Source: Alexandria, functional PBE.

```
MnCoAu3
1.0
-3.571 0.424 3.116
2.631 -2.180 3.312
1.723 4.209 1.401
Au Co Mn
3 1 1
Direct
0.500 0.000 0.000
0.000 0.500 0.000
0.000 0.000 0.500
0.000 0.000 0.000
0.500 0.500 0.500
```

## 2
A relaxed structure of MnCoAu3. Source: Alexandria, functional PBE.

```
MnCoAu3
1.0
-0.342 -3.116 3.560
4.724 -0.425 0.081
0.266 3.551 3.134
Co Au Mn
1 3 1
Direct
0.500 0.500 0.500
0.000 0.500 0.000
0.000 0.000 0.500
0.500 0.000 0.000
0.000 0.000 0.000
```

Most stable = 1